(1)
VASP calculation (GGA-PBE) on a relaxed Li2PaTe4Pb crystal.

uncorrected energy: -4.47 eV/atom

Unit cell a=7.4690 b=4.3983 c=7.8408 alpha=90.00 beta=109.87 gamma=90.00
With the nearest neighbours (Å) after each atom.
Positions (direct):
Li  0.0000  0.0000  0.0000  6 Te 3.10-3.21
Li  0.0000  0.5000  0.5000  6 Te 3.00-3.04
Pa  0.5000  0.0000  0.5000  6 Te 3.06-3.12
Te  0.2376  0.0000  0.7265  3 Li 3.00-3.21, 1 Pa 3.06, 2 Pb 3.23
Te  0.2408  0.5000  0.2555  3 Li 3.04-3.10, 2 Pa 3.12, 1 Pb 3.22
Te  0.7592  0.5000  0.7445  3 Li 3.04-3.10, 2 Pa 3.12, 1 Pb 3.22
Te  0.7624  0.0000  0.2735  3 Li 3.00-3.21, 1 Pa 3.06, 2 Pb 3.23
Pb  0.5000  0.5000  0.0000  6 Te 3.22-3.23



(2)
VASP calculation (GGA-PBE) on a relaxed Nd12Sm3Cd crystal.

energy of formation from the pure elements: -0.2 eV per formula unit
uncorrected energy: -4.53 eV/atom

Unit cell a=5.1212 b=5.1212 c=20.7250 alpha=90.00 beta=90.00 gamma=90.00
With the nearest neighbours (Å) after each atom.
Positions (direct):
Nd  0.0000  0.0000  0.0000  8 Nd 3.58, 4 Cd 3.62
Nd  0.0000  0.0000  0.2447  4 Sm 3.62, 8 Nd 3.63-3.70
Nd  0.0000  0.0000  0.5000  4 Sm 3.62, 8 Nd 3.67
Nd  0.0000  0.0000  0.7553  4 Sm 3.62, 8 Nd 3.63-3.70
Nd  0.0000  0.5000  0.1206  2 Cd 3.58, 8 Nd 3.58-3.63, 2 Sm 3.66
Nd  0.0000  0.5000  0.3733  8 Nd 3.62-3.70, 4 Sm 3.67
Nd  0.0000  0.5000  0.6267  8 Nd 3.62-3.70, 4 Sm 3.67
Nd  0.0000  0.5000  0.8794  2 Cd 3.58, 8 Nd 3.58-3.63, 2 Sm 3.66
Nd  0.5000  0.0000  0.1206  2 Cd 3.58, 8 Nd 3.58-3.63, 2 Sm 3.66
Nd  0.5000  0.0000  0.3733  8 Nd 3.62-3.70, 4 Sm 3.67
Nd  0.5000  0.0000  0.6267  8 Nd 3.62-3.70, 4 Sm 3.67
Nd  0.5000  0.0000  0.8794  2 Cd 3.58, 8 Nd 3.58-3.63, 2 Sm 3.66
Sm  0.5000  0.5000  0.2467  12 Nd 3.62-3.67
Sm  0.5000  0.5000  0.5000  12 Nd 3.62-3.67
Sm  0.5000  0.5000  0.7533  12 Nd 3.62-3.67
Cd  0.5000  0.5000  0.0000  12 Nd 3.58-3.62



(3)
VASP calculation (GGA-PBE) on a relaxed Tl2Pd2Se crystal.

uncorrected energy: -3.69 eV/atom

Unit cell a=8.5224 b=8.5224 c=2.9620 alpha=90.00 beta=90.00 gamma=90.00
With the nearest neighbours (Å) after each atom.
Positions (direct):
Tl  0.1797  0.3203  0.0000  6 Pd 2.88-2.97, 2 Tl 2.96, 2 Se 3.13
Tl  0.3203  0.8203  0.0000  6 Pd 2.88-2.97, 2 Tl 2.96, 2 Se 3.13
Tl  0.6797  0.1797  0.0000  6 Pd 2.88-2.97, 2 Tl 2.96, 2 Se 3.13
Tl  0.8203  0.6797  0.0000  6 Pd 2.88-2.97, 2 Tl 2.96, 2 Se 3.13
Pd  0.1153  0.6153  0.5000  3 Pd 2.78-2.96, 6 Tl 2.88-2.97
Pd  0.3847  0.1153  0.5000  3 Pd 2.78-2.96, 6 Tl 2.88-2.97
Pd  0.6153  0.8847  0.5000  3 Pd 2.78-2.96, 6 Tl 2.88-2.97
Pd  0.8847  0.3847  0.5000  3 Pd 2.78-2.96, 6 Tl 2.88-2.97
Se  0.0000  0.0000  0.0000  2 Se 2.96, 4 Tl 3.13
Se  0.5000  0.5000  0.0000  2 Se 2.96, 4 Tl 3.13



(4)
VASP calculation (GGA-PBE) on a relaxed BaHg2Pt crystal.

energy of formation from the pure elements: -1.5 eV per formula unit
uncorrected energy: -2.52 eV/atom

Unit cell a=3.9153 b=5.4057 c=10.4229 alpha=90.00 beta=90.00 gamma=90.00
With the nearest neighbours (Å) after each atom.
Positions (direct):
Ba  0.0000  0.0000  0.0000  4 Pt 3.34, 8 Hg 3.47-3.61
Ba  0.5000  0.5000  0.5000  4 Pt 3.34, 8 Hg 3.47-3.61
Hg  0.0000  0.5000  0.2085  2 Pt 2.93
Hg  0.0000  0.5000  0.7915  2 Pt 2.93
Hg  0.5000  0.0000  0.2915  2 Pt 2.93
Hg  0.5000  0.0000  0.7085  2 Pt 2.93
Pt  0.0000  0.0000  0.5000  4 Hg 2.93
Pt  0.5000  0.5000  0.0000  4 Hg 2.93



(5)
VASP calculation (GGA-PBE) on a relaxed NbTeMoN2 crystal.

uncorrected energy: -7.33 eV/atom

Unit cell a=4.0590 b=4.0590 c=5.8507 alpha=90.00 beta=90.00 gamma=90.00
With the nearest neighbours (Å) after each atom.
Positions (direct):
Nb  0.0000  0.0000  0.0000  4 N 2.03
Te  0.0000  0.0000  0.5000  4 Mo 2.87, 2 Nb 2.93
Mo  0.5000  0.5000  0.5000  4 Te 2.87
N  0.0000  0.5000  0.0000  2 Nb 2.03
N  0.5000  0.0000  0.0000  2 Nb 2.03



(6)
VASP calculation (GGA-PBE) on a relaxed NaPa2PtO8 crystal.

uncorrected energy: -7.57 eV/atom

Unit cell a=5.4838 b=5.4838 c=6.8273 alpha=90.00 beta=90.00 gamma=120.00
With the nearest neighbours (Å) after each atom.
Positions (direct):
Na  0.0000  0.0000  0.0000  12 O 2.95-3.24
Pa  0.3333  0.6667  0.3749  1 O 1.86
Pa  0.6667  0.3333  0.6251  1 O 1.86
Pt  0.0000  0.0000  0.5000  6 O 1.98
O  0.1790  0.3580  0.6475  1 Pt 1.98
O  0.1790  0.8210  0.6475  1 Pt 1.98
O  0.3333  0.6667  0.1026  1 Pa 1.86
O  0.3580  0.1790  0.3525  1 Pt 1.98
O  0.6420  0.8210  0.6475  1 Pt 1.98
O  0.6667  0.3333  0.8974  1 Pa 1.86
O  0.8210  0.1790  0.3525  1 Pt 1.98
O  0.8210  0.6420  0.3525  1 Pt 1.98



(7)
VASP calculation (GGA-PBE) on a relaxed YIn2Bi2 crystal.

energy of formation from the pure elements: -1.0 eV per formula unit
uncorrected energy: -4.15 eV/atom

Unit cell a=4.2660 b=4.2660 c=17.2506 alpha=90.00 beta=90.00 gamma=90.00
With the nearest neighbours (Å) after each atom.
Positions (direct):
Y  0.0000  0.0000  0.0000  8 Bi 3.40
Y  0.5000  0.5000  0.5000  8 Bi 3.40
In  0.0000  0.5000  0.2500  4 In 3.02
In  0.0000  0.5000  0.7500  4 In 3.02
In  0.5000  0.0000  0.2500  4 In 3.02
In  0.5000  0.0000  0.7500  4 In 3.02
Bi  0.0000  0.0000  0.4095  1 Bi 3.12, 4 Y 3.40, 4 In 3.48
Bi  0.0000  0.0000  0.5905  1 Bi 3.12, 4 Y 3.40, 4 In 3.48
Bi  0.5000  0.5000  0.0905  1 Bi 3.12, 4 Y 3.40, 4 In 3.48
Bi  0.5000  0.5000  0.9095  1 Bi 3.12, 4 Y 3.40, 4 In 3.48



(8)
VASP calculation (GGA-PBE) on a relaxed HfZrPt2F crystal.

uncorrected energy: -7.40 eV/atom

Unit cell a=5.0990 b=5.0990 c=3.9025 alpha=90.00 beta=90.00 gamma=90.00
With the nearest neighbours (Å) after each atom.
Positions (direct):
Hf  0.0000  0.0000  0.0000  2 F 1.95
Zr  0.5000  0.5000  0.5000  8 Pt 3.21
Pt  0.0000  0.5000  0.0000  2 Hf 2.55
Pt  0.5000  0.0000  0.0000  2 Hf 2.55
F  0.0000  0.0000  0.5000  2 Hf 1.95